No. 1
Compound: LiTa2TiPt
Source: Alexandria via LeMat-Bulk
Functional: PBE-GGA
Structure: relaxed

Results
- Calculated total energy: -34.3 eV for the cell shown
- Density: 9.64 g/cm³

a = 4.7036 Å, b = 4.7036 Å, c = 4.7609 Å
α = 90.00°, β = 90.00°, γ = 90.00°
With the nearest neighbours (Å) after each atom.
Space group P4/mmm (No. 123)
Inequivalent atoms, fractional coordinates:
Li1 0.0000 0.0000 0.0000  4 Pt 3.33, 8 Ta 3.35
Ta1 0.0000 0.5000 0.5000  2 Ti 2.35
Ti1 0.5000 0.5000 0.5000  4 Ta 2.35, 2 Pt 2.38
Pt1 0.5000 0.5000 0.0000  2 Ti 2.38

***

No. 2
Compound: CaEr3Cd2
Source: Alexandria via LeMat-Bulk
Functional: PBE-GGA
Structure: relaxed

Results
- Density: 7.47 g/cm³
- Excess energy over the best structure of this formula in the dataset: 0.000 eV per formula unit

a = 5.2016 Å, b = 9.4808 Å, c = 6.9117 Å
α = 90.00°, β = 90.00°, γ = 90.00°
With the nearest neighbours (Å) after each atom.
Space group Pmc2_1 (No. 26)
Inequivalent atoms, fractional coordinates:
Ca1 0.0000 0.0458 0.0000  3 Cd 3.25-3.27, 2 Ca 3.56, 3 Er 3.60
Er1 0.0000 0.3246 0.6456  4 Cd 3.05-3.16
Er2 0.5000 0.1839 0.3052  4 Cd 3.10-3.20
Er3 0.5000 0.4541 0.9529  3 Cd 3.19-3.25, 5 Er 3.53-3.58
Cd1 0.0000 0.3557 0.2003  6 Er 3.05-3.25, 1 Ca 3.25
Cd2 0.5000 0.1509 0.7512  5 Er 3.10-3.20, 2 Ca 3.27

***

No. 3
Compound: Sc2PbS
Source: Alexandria via LeMat-Bulk
Functional: PBE-GGA
Structure: relaxed

Results
- Raw formation energy: -4.6 eV per formula unit
- Density: 6.34 g/cm³
- Excess energy over the best structure of this formula in the dataset: 0.050 eV per formula unit

a = 6.3000 Å, b = 3.6390 Å, c = 7.8229 Å
α = 90.00°, β = 105.80°, γ = 90.00°
With the nearest neighbours (Å) after each atom.
Space group C2/m (No. 12)
Inequivalent atoms, fractional coordinates:
Sc1 0.2312 0.0000 0.1907  3 S 2.54
Pb1 0.0000 0.0000 0.5000  6 Sc 3.13-3.15
S1 0.0000 0.5000 0.0000  6 Sc 2.54

***

No. 4
Compound: AcPuSiO6
Source: Alexandria via LeMat-Bulk
Functional: PBE-GGA
Structure: relaxed

Results
- Raw formation energy: -25.7 eV per formula unit
- Density: 7.62 g/cm³

a = 5.2985 Å, b = 5.2985 Å, c = 5.3337 Å
α = 90.00°, β = 90.00°, γ = 120.00°
With the nearest neighbours (Å) after each atom.
Space group P312 (No. 149)
Inequivalent atoms, fractional coordinates:
Ac1 0.0000 0.0000 0.0000  6 O 2.55
Pu1 0.3333 0.6667 0.5000  6 O 2.14
Si1 0.6667 0.3333 0.5000  6 O 1.83
O1 0.3930 0.0439 0.6982  1 Si 1.83

***

No. 5
Compound: CuPt2Rh2
Source: Alexandria via LeMat-Bulk
Functional: PBE-GGA
Structure: relaxed

Results
- Density: 14.93 g/cm³
- Excess energy over the best structure of this formula in the dataset: 0.536 eV per formula unit

a = 11.7480 Å, b = 4.6385 Å, c = 2.7158 Å
α = 90.00°, β = 97.58°, γ = 90.00°
With the nearest neighbours (Å) after each atom.
Space group C2/m (No. 12)
Inequivalent atoms, fractional coordinates:
Cu1 0.0000 0.0000 0.0000  4 Pt 2.58-2.73, 4 Rh 2.66, 2 Cu 2.72
Pt1 0.1955 0.0000 0.5595  2 Cu 2.58-2.73, 4 Pt 2.69-2.72, 4 Rh 2.72-2.77
Rh1 0.0974 0.5000 0.8207  4 Rh 2.60-2.72, 2 Cu 2.66, 4 Pt 2.72-2.77

***

No. 6
Compound: TbSmS2O
Source: Alexandria via LeMat-Bulk
Functional: PBE-GGA
Structure: relaxed

Results
- Raw formation energy: -12.6 eV per formula unit
- Density: 6.00 g/cm³

a = 3.9239 Å, b = 3.9239 Å, c = 14.0086 Å
α = 90.00°, β = 90.00°, γ = 90.00°
With the nearest neighbours (Å) after each atom.
Space group P4/nmm (No. 129, origin choice 2)
Inequivalent atoms, fractional coordinates:
Tb1 0.2500 0.2500 0.1240  1 S 2.51
Sm1 0.2500 0.2500 0.5855  4 O 2.30
S1 0.2500 0.2500 0.3033  1 Tb 2.51
S2 0.2500 0.2500 0.9094  5 Tb 2.81-3.01
O1 0.2500 0.7500 0.5000  4 Sm 2.30